A plane-wave DFT calculation with GGA-PBE was carried out for EuBi after structural relaxation.

Computed properties:
Total DFT energy (no corrections), eV per cell: -31.30
E_form, eV/f.u.: -1.49
Density of states at the Fermi level, states/eV/atom: 4.864
Symmetry: P2_1/m, No. 11

Lattice parameters (Å, degrees): 4.6018 4.8233 6.6331 90.00 110.15 90.00
Each line ends with the local moment (μB).
Sites, in units of the cell vectors:
Bi: 0.8974 0.2500 0.7890  -0.03
Eu: 0.3776 0.7500 0.7506  6.80
Bi: 0.1026 0.7500 0.2110  -0.03
Eu: 0.6224 0.2500 0.2494  6.80